Record 1
Material: LaTb2Mg3Ir3
Method: DFT, PBE-GGA
State: relaxed

```
data_LaTb2Mg3Ir3
_chemical_formula_sum 'La2 Tb4 Mg6 Ir6'
_cell_length_a 4.111
_cell_length_b 12.702
_cell_length_c 7.373
_cell_angle_alpha 90.00
_cell_angle_beta 90.00
_cell_angle_gamma 90.00
_space_group_name_H-M_alt 'A m m 2'
_space_group_IT_number 38
loop_
_space_group_symop_operation_xyz
'x,y,z'
'-x,-y,z'
'-x,y,z'
'x,-y,z'
'x,y+1/2,z+1/2'
'-x,-y+1/2,z+1/2'
'-x,y+1/2,z+1/2'
'x,-y+1/2,z+1/2'
loop_
_atom_site_label
_atom_site_fract_x
_atom_site_fract_y
_atom_site_fract_z
_atom_site_occupancy
La1 0.000 0.000 0.000 1
Tb1 0.000 0.205 0.619 1
Mg1 0.500 0.000 0.654 1
Mg2 0.500 0.123 0.297 1
Ir1 0.000 0.000 0.422 1
Ir2 0.500 0.170 0.916 1
```

E_tot: -102.6 eV per cell

Record 2
Material: La3Mg3TlIr2
Method: DFT, PBE-GGA
State: relaxed

```
data_La3Mg3TlIr2
_chemical_formula_sum 'La3 Mg3 Tl1 Ir2'
_cell_length_a 7.6175
_cell_length_b 7.6175
_cell_length_c 4.3441
_cell_angle_alpha 90.00
_cell_angle_beta 90.00
_cell_angle_gamma 120.00
_space_group_name_H-M_alt 'P -6 2 m'
_space_group_IT_number 189
_space_group_name_Hall 'P -6 -2'
loop_
_atom_site_label
_atom_site_fract_x
_atom_site_fract_y
_atom_site_fract_z
_atom_site_occupancy
La1 0.0000 0.5698 0.0000 1
Mg1 0.0000 0.2552 0.5000 1
Tl1 0.0000 0.0000 0.0000 1
Ir1 0.3333 0.6667 0.5000 1
```

E_tot: -43.9 eV per cell

Per-record magnetization, μB/atom: 0.00 0.00